[1]
A relaxed PuZrCd4 crystal, computed with GGA-PBE.

Computed properties:
- crystal system = orthorhombic
- electronic total energy (eV per atom) = -4.51
- offset from the most stable computed form (eV/atom) = 0.000

a = 3.091 Å, b = 5.027 Å, c = 8.764 Å
α = 90.00°, β = 90.00°, γ = 90.00°
Space group Pmmm (No. 47)
Symmetry-distinct sites (fractional):
Pu 0.000 0.000 0.000 [1 per cell]
Zr 0.000 0.500 0.500 [1 per cell]
Cd 0.500 0.000 0.341 [2 per cell]
Cd 0.500 0.500 0.176 [2 per cell]



[2]
A relaxed PuZrCd crystal, computed with GGA-PBE.

Computed properties:
- crystal system = tetragonal
- electronic total energy (eV per atom) = -7.92
- offset from the most stable computed form (eV/atom) = 0.000

a = 3.104 Å, b = 3.104 Å, c = 14.607 Å
α = 90.00°, β = 90.00°, γ = 90.00°
Space group I4mm (No. 107)
Symmetry-distinct sites (fractional):
Pu 0.000 0.000 0.000 [2 per cell]
Zr 0.000 0.000 0.332 [2 per cell]
Cd 0.000 0.000 0.675 [2 per cell]



[3]
A relaxed PuZrCd4 crystal, computed with GGA-PBE.

Computed properties:
- crystal system = cubic
- electronic total energy (eV per atom) = -4.40
- offset from the most stable computed form (eV/atom) = 0.103

a = 8.226 Å, b = 8.226 Å, c = 8.226 Å
α = 90.00°, β = 90.00°, γ = 90.00°
Space group F-43m (No. 216)
Symmetry-distinct sites (fractional):
Pu 0.000 0.000 0.000 [4 per cell]
Zr 0.250 0.250 0.750 [4 per cell]
Cd 0.124 0.124 0.376 [16 per cell]



[4]
A relaxed PuZrCd crystal, computed with GGA-PBE.

Computed properties:
- crystal system = orthorhombic
- electronic total energy (eV per atom) = -7.87
- offset from the most stable computed form (eV/atom) = 0.047

a = 4.919 Å, b = 15.290 Å, c = 3.449 Å
α = 90.00°, β = 90.00°, γ = 90.00°
Space group Cmcm (No. 63)
Symmetry-distinct sites (fractional):
Pu 0.000 0.050 0.250 [4 per cell]
Zr 0.000 0.410 0.250 [4 per cell]
Cd 0.000 0.230 0.750 [4 per cell]



[5]
A relaxed PuZrCd crystal, computed with GGA-PBE.

Computed properties:
- crystal system = trigonal
- electronic total energy (eV per atom) = -7.83
- offset from the most stable computed form (eV/atom) = 0.090

a = 3.2375 Å, b = 3.2375 Å, c = 8.0345 Å
α = 90.00°, β = 90.00°, γ = 120.00°
Space group P3m1 (No. 156)
Symmetry-distinct sites (fractional):
Pu 0.0000 0.0000 0.0000 [1 per cell]
Zr 0.6667 0.3333 0.3288 [1 per cell]
Cd 0.3333 0.6667 0.6493 [1 per cell]



[6]
A relaxed Rb4Cd crystal, computed with GGA-PBE.

Computed properties:
- crystal system = cubic
- electronic total energy (eV per atom) = -0.92
- offset from the most stable computed form (eV/atom) = 0.033

a = 7.343 Å, b = 7.343 Å, c = 7.343 Å
α = 90.00°, β = 90.00°, γ = 90.00°
Space group Pm-3m (No. 221)
Symmetry-distinct sites (fractional):
Rb 0.000 0.000 0.000 [1 per cell]
Rb 0.000 0.500 0.500 [3 per cell]
Cd 0.500 0.500 0.500 [1 per cell]



[7]
A relaxed Rb8Cd crystal, computed with GGA-PBE.

Computed properties:
- crystal system = tetragonal
- electronic total energy (eV per atom) = -0.94

a = 16.362 Å, b = 16.362 Å, c = 5.394 Å
α = 90.00°, β = 90.00°, γ = 90.00°
Space group I4/mmm (No. 139)
Symmetry-distinct sites (fractional):
Rb 0.000 0.331 0.000 [8 per cell]
Rb 0.141 0.141 0.500 [8 per cell]
Cd 0.000 0.000 0.000 [2 per cell]



[8]
A relaxed Rb3Cd crystal, computed with GGA-PBE.

Computed properties:
- crystal system = cubic
- electronic total energy (eV per atom) = -0.91
- offset from the most stable computed form (eV/atom) = 0.053

a = 6.285 Å, b = 6.285 Å, c = 6.285 Å
α = 90.00°, β = 90.00°, γ = 90.00°
Space group Pm-3m (No. 221)
Symmetry-distinct sites (fractional):
Rb 0.000 0.000 0.500 [3 per cell]
Cd 0.500 0.500 0.500 [1 per cell]